(1)
TaP2Pt PBE-GGA optimized geometry; offset from the most stable computed form = 66 meV/atom; density of states at the Fermi level = 0.7837 states/eV/atom; density = 11.678 g/cm³; E_tot = -7.65 eV per atom; calculated formation energy = -467 meV per atom
1.0
-2.4506 -2.2688 -0.9434
1.3864 -0.1767 -3.1764
3.0231 -3.9042 1.5367
P Pt Ta
2 1 1
direct
0.0000 0.0000 0.9496
0.5000 0.5000 0.3181
0.0000 0.0000 0.4362
0.5000 0.5000 0.7961

(2)
Sc2TiTlP PBE-GGA optimized geometry; density of states at the Fermi level = 0.7171 states/eV/atom; density = 5.637 g/cm³; E_tot = -6.21 eV per atom; calculated formation energy = -545 meV per atom
1.0
4.8713 0.0000 0.0000
0.0000 4.8713 0.0000
0.0000 0.0000 4.6320
Sc P Tl Ti
2 1 1 1
direct
0.0000 0.5000 0.0000
0.5000 0.0000 0.0000
0.0000 0.0000 0.0000
0.5000 0.5000 0.5000
0.0000 0.0000 0.5000

(3)
EuDy2Tl PBE-GGA optimized geometry; offset from the most stable computed form = 0 meV/atom; density of states at the Fermi level = 1.0203 states/eV/atom; density = 9.499 g/cm³; E_tot = -5.60 eV per atom; calculated formation energy = -140 meV per atom
1.0
4.8170 0.0000 0.0000
0.0000 4.9727 0.0000
0.0000 0.0000 4.9727
Eu Tl Dy
1 1 2
direct
0.5000 0.5000 0.5000
0.5000 0.0000 0.0000
0.0000 0.0000 0.5000
0.0000 0.5000 0.0000

Q: Which value of density does entry 3 give?
A: 9.499 g/cm³

Q: The highest E_tot belongs to which entry?
A: EuDy2Tl

Repeat the second record exactly.
Sc2TiTlP PBE-GGA optimized geometry; density of states at the Fermi level = 0.7171 states/eV/atom; density = 5.637 g/cm³; E_tot = -6.21 eV per atom; calculated formation energy = -545 meV per atom
1.0
4.8713 0.0000 0.0000
0.0000 4.8713 0.0000
0.0000 0.0000 4.6320
Sc P Tl Ti
2 1 1 1
direct
0.0000 0.5000 0.0000
0.5000 0.0000 0.0000
0.0000 0.0000 0.0000
0.5000 0.5000 0.5000
0.0000 0.0000 0.5000

Copy entry 1 word for word.
TaP2Pt PBE-GGA optimized geometry; offset from the most stable computed form = 66 meV/atom; density of states at the Fermi level = 0.7837 states/eV/atom; density = 11.678 g/cm³; E_tot = -7.65 eV per atom; calculated formation energy = -467 meV per atom
1.0
-2.4506 -2.2688 -0.9434
1.3864 -0.1767 -3.1764
3.0231 -3.9042 1.5367
P Pt Ta
2 1 1
direct
0.0000 0.0000 0.9496
0.5000 0.5000 0.3181
0.0000 0.0000 0.4362
0.5000 0.5000 0.7961